{"formula": "MnAgIrF6", "functional": "PBE+U", "state": "optimized geometry", "volume_a3_per_atom": 15.47, "e_tot_ha_per_atom": -0.186, "space_group": "P-31c (163)", "cell": [[5.610, 0.000, 0.000], [-2.805, 4.858, 0.000], [0.000, 0.000, 10.216]], "species": ["Mn", "Mn", "Ag", "Ag", "Ir", "Ir", "F", "F", "F", "F", "F", "F", "F", "F", "F", "F", "F", "F"], "fractional_positions": [[0.333, 0.667, 0.250], [0.667, 0.333, 0.750], [0.000, 0.000, 0.000], [0.000, 0.000, 0.500], [0.333, 0.667, 0.750], [0.667, 0.333, 0.250], [0.016, 0.367, 0.644], [0.016, 0.649, 0.856], [0.351, 0.367, 0.856], [0.351, 0.984, 0.644], [0.367, 0.016, 0.144], [0.367, 0.351, 0.356], [0.633, 0.649, 0.644], [0.633, 0.984, 0.856], [0.649, 0.016, 0.356], [0.649, 0.633, 0.144], [0.984, 0.351, 0.144], [0.984, 0.633, 0.356]]}